CaZrHg: relaxed, PBE.

Values from the calculation:
- Uncorrected energy: -3.391 eV/atom
- E_form: 0.23 eV per atom

Unit cell a=4.9720 b=4.9720 c=4.9720 alpha=60.00 beta=60.00 gamma=60.00
With the nearest neighbours (Å) after each atom.
Element x y z (fractional)
Zr (0.0000, 0.0000, 0.0000)  4 Hg 3.04
Hg (0.7500, 0.7500, 0.7500)  4 Zr 3.04, 4 Ca 3.04
Ca (0.5000, 0.5000, 0.5000)  4 Hg 3.04